First-principles (GGA-PBE) data for crystalline Zr2RuPb at its relaxed geometry, as listed in Alexandria.

Values from the calculation:
The value obtained for the formation energy is -52 kJ/mol of formula units. The calculation puts the total moment at 0.0 μB per formula unit. As for the symmetry: No. 123. Its density of states at the Fermi level is 1.257 states/eV/atom.

a = 4.1243 Å, b = 4.4343 Å, c = 4.4343 Å
α = 90.00°, β = 90.00°, γ = 90.00°
Fractional positions:
1 Zr 0.0000 0.0000 0.0000
2 Zr 0.0000 0.5000 0.5000
3 Ru 0.5000 0.0000 0.5000
4 Pb 0.5000 0.5000 0.0000